No. 1
DFT (PBE) results for Cs2AgS2N after structural relaxation.

Calculated values
**Uncorrected formation energy**: 0.290 eV per atom

Cell lengths 7.263, 14.327, 6.395 Å; angles 90.00, 90.00, 90.00 degrees
Space group Ibam (No. 72)
Inequivalent atoms, fractional coordinates:
Cs 0.167 0.171 0.000
Ag 0.000 0.500 0.250
S 0.218 0.044 0.500
N 0.000 0.000 0.250

***

No. 2
DFT (PBE) results for CsAgSN2 after structural relaxation.

Calculated values
**Uncorrected formation energy**: 2.466 eV per atom

Cell lengths 4.230, 4.230, 6.762 Å; angles 90.00, 90.00, 90.00 degrees
Space group P4/mmm (No. 123)
Inequivalent atoms, fractional coordinates:
Cs 0.000 0.000 0.000
Ag 0.500 0.500 0.500
S 0.000 0.000 0.500
N 0.000 0.500 0.000

***

No. 3
DFT (PBE) results for Cs2AgSbN after structural relaxation.

Calculated values
**Uncorrected formation energy**: 0.437 eV per atom

Cell lengths 7.365, 7.365, 4.211 Å; angles 90.00, 90.00, 90.00 degrees
Space group P4/mmm (No. 123)
Inequivalent atoms, fractional coordinates:
Cs 0.000 0.500 0.000
Ag 0.000 0.000 0.500
Sb 0.500 0.500 0.000
N 0.500 0.500 0.500

***

No. 4
DFT (PBE) results for CsAgSeN2 after structural relaxation.

Calculated values
**Energy above the most stable polymorph in this dataset**: 0.00 eV/f.u.
**Uncorrected formation energy**: 1.425 eV per atom

Cell lengths 4.722, 4.722, 5.370 Å; angles 90.00, 90.00, 90.00 degrees
Space group P4/mmm (No. 123)
Inequivalent atoms, fractional coordinates:
Cs 0.000 0.000 0.000
Ag 0.500 0.500 0.500
Se 0.500 0.500 0.000
N 0.000 0.500 0.500

***

No. 5
DFT (PBE) results for CsAgSeN2 after structural relaxation.

Calculated values
**Energy above the most stable polymorph in this dataset**: 4.40 eV/f.u.
**Uncorrected formation energy**: 2.305 eV per atom

Cell lengths 4.408, 4.408, 7.200 Å; angles 90.00, 90.00, 90.00 degrees
Space group P4/mmm (No. 123)
Inequivalent atoms, fractional coordinates:
Cs 0.000 0.000 0.000
Ag 0.500 0.500 0.500
Se 0.000 0.000 0.500
N 0.000 0.500 0.000

***

No. 6
DFT (PBE) results for CsAgSnN2 after structural relaxation.

Calculated values
**Uncorrected formation energy**: 2.252 eV per atom

Cell lengths 4.429, 4.429, 6.019 Å; angles 90.00, 90.00, 90.00 degrees
Space group P4/mmm (No. 123)
Inequivalent atoms, fractional coordinates:
Cs 0.000 0.000 0.000
Ag 0.000 0.000 0.500
Sn 0.500 0.500 0.500
N 0.000 0.500 0.000

***

No. 7
DFT (PBE) results for CsAgTe2N after structural relaxation.

Calculated values
**Energy above the most stable polymorph in this dataset**: 0.00 eV/f.u.
**Uncorrected formation energy**: 0.664 eV per atom

Cell lengths 6.309, 6.309, 3.973 Å; angles 90.00, 90.00, 90.00 degrees
Space group P4/mmm (No. 123)
Inequivalent atoms, fractional coordinates:
Cs 0.000 0.000 0.000
Ag 0.500 0.500 0.500
Te 0.000 0.500 0.500
N 0.500 0.500 0.000

***

No. 8
DFT (PBE) results for CsAgTe2N after structural relaxation.

Calculated values
**Energy above the most stable polymorph in this dataset**: 5.50 eV/f.u.
**Uncorrected formation energy**: 1.764 eV per atom

Cell lengths 6.649, 6.649, 4.158 Å; angles 90.00, 90.00, 90.00 degrees
Space group P4/mmm (No. 123)
Inequivalent atoms, fractional coordinates:
Cs 0.000 0.000 0.000
Ag 0.500 0.500 0.500
Te 0.000 0.500 0.000
N 0.000 0.000 0.500

***

No. 9
DFT (PBE) results for CsNaAg after structural relaxation.

Calculated values
**Energy above the most stable polymorph in this dataset**: 0.08 eV/f.u.
**Energy relative to the elements**: 0.03 eV/atom

Cell lengths 5.929, 6.959, 7.393 Å; angles 101.98, 96.75, 103.40 degrees
Space group P-1 (No. 2)
Inequivalent atoms, fractional coordinates:
Cs 0.134 0.233 0.331
Na 0.451 0.749 0.100
Ag 0.073 0.365 0.859

***

No. 10
DFT (PBE) results for CsNa3Ag after structural relaxation.

Calculated values
**Energy above the most stable polymorph in this dataset**: 3.72 eV/f.u.
**Energy relative to the elements**: 0.79 eV/atom

Cell lengths 6.919, 6.919, 6.919 Å; angles 90.00, 90.00, 90.00 degrees
Space group Pm-3m (No. 221)
Inequivalent atoms, fractional coordinates:
Cs 0.000 0.000 0.000
Na 0.000 0.000 0.500
Ag 0.500 0.500 0.500

***

No. 11
DFT (PBE) results for CsNa2Ag2 after structural relaxation.

Calculated values
**Energy above the most stable polymorph in this dataset**: 0.00 eV/f.u.
**Energy relative to the elements**: 0.02 eV/atom

Cell lengths 13.274, 4.989, 5.969 Å; angles 90.00, 105.44, 90.00 degrees
Space group C2/m (No. 12)
Inequivalent atoms, fractional coordinates:
Cs 0.000 0.000 0.000
Na 0.174 0.500 0.580
Ag 0.240 0.500 0.109

***

No. 12
DFT (PBE) results for CsNa8Ag4 after structural relaxation.

Calculated values
**Energy relative to the elements**: 0.01 eV/atom

Cell lengths 11.203, 11.203, 6.028 Å; angles 90.00, 90.00, 90.00 degrees
Space group I4/mmm (No. 139)
Inequivalent atoms, fractional coordinates:
Cs 0.000 0.000 0.000
Na 0.000 0.230 0.500
Na 0.000 0.344 0.000
Ag 0.250 0.250 0.250

***

Number 1: magnetization 0.0 μB per formula unit. Number 2: magnetization 0.2 μB per formula unit. Number 3: magnetization 0.0 μB per formula unit. Number 4: magnetization 4.6 μB per formula unit. Number 5: magnetization 2.6 μB per formula unit. Number 6: magnetization 0.0 μB per formula unit. Number 7: magnetization 1.7 μB per formula unit. Number 8: magnetization 0.0 μB per formula unit. Number 9: magnetization 0.0 μB per formula unit. Number 10: magnetization 0.0 μB per formula unit. Number 11: magnetization 0.0 μB per formula unit. Number 12: magnetization 0.0 μB per formula unit.